No. 1
! SmTm3Ga4, relaxed, DFT PBE; values from VASP
&SYSTEM
  ibrav = 0, nat = 8, ntyp = 3
/
ATOMIC_SPECIES
Sm 150.36 Sm.upf
Tm 168.93 Tm.upf
Ga 69.72 Ga.upf
CELL_PARAMETERS angstrom
5.032 0.000 0.000
0.000 5.032 0.000
0.000 0.000 7.104
ATOMIC_POSITIONS crystal
Sm 0.000 0.000 0.000
Tm 0.000 0.000 0.500
Tm 0.500 0.500 0.000
Tm 0.500 0.500 0.500
Ga 0.000 0.500 0.258
Ga 0.000 0.500 0.742
Ga 0.500 0.000 0.258
Ga 0.500 0.000 0.742
! - SG = P4/mmm

---

No. 2
! SmTm2Ga4, relaxed, DFT PBE; values from VASP
&SYSTEM
  ibrav = 0, nat = 7, ntyp = 3
/
ATOMIC_SPECIES
Sm 150.36 Sm.upf
Tm 168.93 Tm.upf
Ga 69.72 Ga.upf
CELL_PARAMETERS angstrom
-2.064 2.128 9.048
2.064 -2.128 9.048
2.064 2.128 -9.048
ATOMIC_POSITIONS crystal
Sm 0.000 0.000 0.000
Tm 0.185 0.685 0.500
Tm 0.815 0.315 0.500
Ga 0.351 0.851 0.500
Ga 0.432 0.432 0.000
Ga 0.568 0.568 0.000
Ga 0.649 0.149 0.500
! - SG = Immm

---

No. 3
! SmTm3Ga2, relaxed, DFT PBE; values from VASP
&SYSTEM
  ibrav = 0, nat = 12, ntyp = 3
/
ATOMIC_SPECIES
Sm 150.36 Sm.upf
Tm 168.93 Tm.upf
Ga 69.72 Ga.upf
CELL_PARAMETERS angstrom
7.924 -2.530 0.000
7.924 2.530 0.000
-4.076 0.000 7.787
ATOMIC_POSITIONS crystal
Sm 0.131 0.131 0.188
Sm 0.869 0.869 0.812
Tm 0.063 0.063 0.717
Tm 0.312 0.312 0.012
Tm 0.380 0.380 0.489
Tm 0.620 0.620 0.511
Tm 0.688 0.688 0.988
Tm 0.937 0.937 0.283
Ga 0.225 0.225 0.615
Ga 0.486 0.486 0.848
Ga 0.514 0.514 0.152
Ga 0.775 0.775 0.385
! - offset from the most stable computed form (meV/atom) = 90
! - SG = C2/m

---

No. 4
! Sm2TmGa, relaxed, DFT PBE; values from VASP
&SYSTEM
  ibrav = 0, nat = 4, ntyp = 3
/
ATOMIC_SPECIES
Sm 150.36 Sm.upf
Tm 168.93 Tm.upf
Ga 69.72 Ga.upf
CELL_PARAMETERS angstrom
3.568 0.000 0.000
0.000 3.568 0.000
0.000 0.000 8.942
ATOMIC_POSITIONS crystal
Sm 0.000 0.000 0.213
Sm 0.000 0.000 0.787
Tm 0.500 0.500 0.500
Ga 0.500 0.500 0.000
! - offset from the most stable computed form (meV/atom) = 25
! - SG = P4/mmm

---

Number 1: DFT formation energy -0.566 eV per atom, calculated volume 180 Å³ per cell. Number 2: DFT formation energy -0.642 eV per atom, calculated volume 159 Å³ per cell. Number 3: DFT formation energy -0.334 eV per atom, calculated volume 312 Å³ per cell. Number 4: DFT formation energy -0.240 eV per atom, calculated volume 114 Å³ per cell.